First-principles (PBE) data for crystalline Ac2PrDyO6 at its relaxed geometry, as listed in the Alexandria database.

Summary:
The calculation puts the formation energy without anion corrections at -3352 meV per atom. Its magnetization is 0.0 μB/f.u. The value obtained for the calculated volume is 342.6 Å³/cell.

Lattice parameters (Å, degrees): 6.116 6.319 10.748 90.00 124.43 90.00
Sites, in units of the cell vectors:
Ac1 0.235 0.048 0.251
Ac2 0.235 0.452 0.751
Ac3 0.765 0.548 0.249
Ac4 0.765 0.952 0.749
Pr1 0.500 0.000 0.000
Pr2 0.500 0.500 0.500
Dy1 0.000 0.000 0.500
Dy2 0.000 0.500 0.000
O1 0.116 0.202 0.928
O2 0.116 0.298 0.428
O3 0.231 0.690 0.932
O4 0.231 0.810 0.432
O5 0.372 0.062 0.743
O6 0.372 0.438 0.243
O7 0.628 0.562 0.757
O8 0.628 0.938 0.257
O9 0.769 0.190 0.568
O10 0.769 0.310 0.068
O11 0.884 0.702 0.572
O12 0.884 0.798 0.072

First-principles (PBE) data for crystalline SnSO4 at its relaxed geometry, as listed in the Alexandria database.

Summary:
The calculation puts the formation energy without anion corrections at -1378 meV per atom. Its magnetization is 0.0 μB/f.u. The value obtained for the calculated volume is 379.9 Å³/cell. The calculation puts the energy above the most stable polymorph in this dataset at 2 meV per atom.

Lattice parameters (Å, degrees): 5.271 7.312 9.907 89.30 84.31 89.51
Sites, in units of the cell vectors:
Sn1 0.179 0.248 0.397
Sn2 0.179 0.249 0.897
Sn3 0.821 0.751 0.103
Sn4 0.821 0.752 0.603
S1 0.374 0.752 0.363
S2 0.374 0.752 0.863
S3 0.626 0.248 0.137
S4 0.626 0.248 0.637
O1 0.223 0.914 0.414
O2 0.224 0.915 0.914
O3 0.233 0.587 0.913
O4 0.235 0.586 0.414
O5 0.361 0.245 0.592
O6 0.361 0.246 0.092
O7 0.409 0.755 0.211
O8 0.409 0.756 0.711
O9 0.591 0.244 0.289
O10 0.591 0.245 0.789
O11 0.639 0.754 0.908
O12 0.639 0.755 0.408
O13 0.765 0.414 0.586
O14 0.767 0.413 0.087
O15 0.776 0.085 0.086
O16 0.777 0.086 0.586

First-principles (PBE) data for crystalline GaFe2NiH at its relaxed geometry, as listed in the Alexandria database.

Summary:
Its magnetization is 4.6 μB/f.u. The value obtained for the calculated volume is 50.7 Å³/cell. The calculation puts the energy above the most stable polymorph in this dataset at 156 meV per atom.

Lattice parameters (Å, degrees): 3.532 3.532 4.060 90.00 90.00 90.00
Sites, in units of the cell vectors:
Ga1 0.000 0.000 0.000
Fe1 0.000 0.500 0.500
Fe2 0.500 0.000 0.500
Ni1 0.500 0.500 0.000
H1 0.000 0.000 0.500

First-principles (PBE) data for crystalline Sc4SiTe2As at its relaxed geometry, as listed in the Alexandria database.

Summary:
The calculation puts the formation energy without anion corrections at -1148 meV per atom. Its magnetization is 0.0 μB/f.u. The value obtained for the calculated volume is 184.0 Å³/cell.

Lattice parameters (Å, degrees): 6.913 3.984 7.065 90.00 108.94 90.00
Sites, in units of the cell vectors:
Sc1 0.235 0.000 0.216
Sc2 0.257 0.500 0.785
Sc3 0.743 0.500 0.215
Sc4 0.765 0.000 0.784
Si1 0.000 0.500 0.000
Te1 0.000 0.000 0.500
Te2 0.500 0.500 0.500
As1 0.500 0.000 0.000

First-principles (PBE) data for crystalline ScCdIO2 at its relaxed geometry, as listed in the Alexandria database.

Summary:
The calculation puts the formation energy without anion corrections at -1303 meV per atom. Its magnetization is 0.0 μB/f.u. The value obtained for the calculated volume is 104.5 Å³/cell. The calculation puts the energy above the most stable polymorph in this dataset at 0 meV per atom.

Lattice parameters (Å, degrees): 4.130 4.130 6.127 90.00 90.00 90.00
Sites, in units of the cell vectors:
Sc1 0.000 0.000 0.000
Cd1 0.500 0.500 0.500
I1 0.000 0.000 0.500
O1 0.000 0.500 0.000
O2 0.500 0.000 0.000

First-principles (PBE) data for crystalline CdOs2Br at its relaxed geometry, as listed in the Alexandria database.

Summary:
The calculation puts the formation energy without anion corrections at 1443 meV per atom. Its magnetization is 0.0 μB/f.u. The value obtained for the calculated volume is 68.2 Å³/cell. The calculation puts the energy above the most stable polymorph in this dataset at 1009 meV per atom.

Lattice parameters (Å, degrees): 2.883 3.781 6.256 90.00 90.00 90.00
Sites, in units of the cell vectors:
Cd1 0.000 0.000 0.000
Os1 0.500 0.500 0.280
Os2 0.500 0.500 0.720
Br1 0.000 0.000 0.500

> Among the records above, which one has the highest magnetization?

GaFe2NiH

> Among the records above, which one has the lowest calculated volume?

GaFe2NiH

> Which value of magnetization does entry 4 give?

0.0 μB/f.u.